# 1
First-principles (GGA-PBE) data for a relaxed Zr4AlCo crystal, as listed in Alexandria.

Calculated values
- Magnetic moment: 0.0 μB per formula unit
- E above lowest polymorph: 0 meV/atom
- Total DFT energy (no corrections): -7.78 eV per atom
- Formation energy from the elements: -0.273 eV per atom

Unit cell a=5.411 b=6.634 c=6.634 alpha=90.00 beta=90.00 gamma=90.00
Atoms (fractional coordinates):
Zr: 0.000 0.176 0.648
Zr: 0.000 0.824 0.352
Zr: 0.000 0.352 0.176
Zr: 0.000 0.648 0.824
Zr: 0.500 0.824 0.648
Zr: 0.500 0.176 0.352
Zr: 0.500 0.648 0.176
Zr: 0.500 0.352 0.824
Al: 0.250 0.000 0.000
Al: 0.750 0.000 0.000
Co: 0.250 0.500 0.500
Co: 0.750 0.500 0.500

---

# 2
First-principles (GGA-PBE) data for a relaxed ZrAlCo2 crystal, as listed in Alexandria.

Calculated values
- Magnetic moment: 2.8 μB per formula unit
- Total DFT energy (no corrections): -6.71 eV per atom
- Formation energy from the elements: -0.082 eV per atom

Unit cell a=4.361 b=4.361 c=4.361 alpha=60.00 beta=60.00 gamma=60.00
Each line ends with the local moment (μB).
Atoms (fractional coordinates):
Co: 0.000 0.000 0.000  1.52
Co: 0.750 0.750 0.750  1.37
Al: 0.500 0.500 0.500  0.01
Zr: 0.250 0.250 0.250  -0.06

---

# 3
First-principles (GGA-PBE) data for a relaxed Zr3Al3Co2 crystal, as listed in Alexandria.

Calculated values
- Magnetic moment: 0.0 μB per formula unit
- Total DFT energy (no corrections): -6.84 eV per atom
- Formation energy from the elements: -0.457 eV per atom

Unit cell a=5.368 b=7.365 c=13.868 alpha=90.00 beta=90.00 gamma=90.00
Atoms (fractional coordinates):
Zr: 0.098 0.471 0.387
Zr: 0.598 0.029 0.613
Zr: 0.902 0.529 0.887
Zr: 0.402 0.971 0.113
Zr: 0.902 0.529 0.613
Zr: 0.402 0.971 0.387
Zr: 0.098 0.471 0.113
Zr: 0.598 0.029 0.887
Zr: 0.635 0.331 0.250
Zr: 0.135 0.169 0.750
Zr: 0.365 0.669 0.750
Zr: 0.865 0.831 0.250
Al: 0.127 0.179 0.250
Al: 0.627 0.321 0.750
Al: 0.873 0.821 0.750
Al: 0.373 0.679 0.250
Al: 0.591 0.327 0.468
Al: 0.091 0.173 0.532
Al: 0.409 0.673 0.968
Al: 0.909 0.827 0.032
Al: 0.409 0.673 0.532
Al: 0.909 0.827 0.468
Al: 0.591 0.327 0.032
Al: 0.091 0.173 0.968
Co: 0.849 0.110 0.385
Co: 0.349 0.390 0.615
Co: 0.151 0.890 0.885
Co: 0.651 0.610 0.115
Co: 0.151 0.890 0.615
Co: 0.651 0.610 0.385
Co: 0.849 0.110 0.115
Co: 0.349 0.390 0.885

---

# 4
First-principles (GGA-PBE) data for a relaxed Zr2AlCo crystal, as listed in Alexandria.

Calculated values
- Magnetic moment: 0.0 μB per formula unit
- Total DFT energy (no corrections): -7.00 eV per atom
- Formation energy from the elements: -0.018 eV per atom

Unit cell a=8.667 b=8.667 c=8.667 alpha=21.18 beta=21.18 gamma=21.18
Atoms (fractional coordinates):
Co: 0.754 0.754 0.754
Al: 0.485 0.485 0.485
Zr: 0.014 0.014 0.014
Zr: 0.247 0.247 0.247

---

# 5
First-principles (GGA-PBE) data for a relaxed Zr2AlCo crystal, as listed in Alexandria.

Calculated values
- Magnetic moment: 0.0 μB per formula unit
- Total DFT energy (no corrections): -7.19 eV per atom
- Formation energy from the elements: -0.202 eV per atom

Unit cell a=5.399 b=5.399 c=5.399 alpha=137.48 beta=137.48 gamma=61.70
Atoms (fractional coordinates):
Co: 0.750 0.250 0.500
Al: 0.500 0.500 0.000
Zr: 0.000 0.000 0.000
Zr: 0.250 0.750 0.500

---

# 6
First-principles (GGA-PBE) data for a relaxed Zr2AlCo crystal, as listed in Alexandria.

Calculated values
- Magnetic moment: 0.0 μB per formula unit
- Total DFT energy (no corrections): -7.22 eV per atom
- Formation energy from the elements: -0.231 eV per atom

Unit cell a=5.017 b=5.017 c=4.622 alpha=62.56 beta=62.56 gamma=45.21
Atoms (fractional coordinates):
Co: 0.750 0.750 0.750
Al: 0.250 0.250 0.250
Zr: 0.027 0.027 0.973
Zr: 0.473 0.473 0.527

---

# 7
First-principles (GGA-PBE) data for a relaxed ZrAlCo2 crystal, as listed in Alexandria.

Calculated values
- Magnetic moment: 0.2 μB per formula unit
- Total DFT energy (no corrections): -6.81 eV per atom
- Formation energy from the elements: -0.182 eV per atom

Unit cell a=2.944 b=3.739 c=5.281 alpha=90.00 beta=90.00 gamma=90.00
Each line ends with the local moment (μB).
Atoms (fractional coordinates):
Co: 0.000 0.000 0.960  0.00
Co: 0.500 0.500 0.266  0.20
Al: 0.500 0.500 0.808  0.00
Zr: 0.000 0.000 0.466  -0.03

---

# 8
First-principles (GGA-PBE) data for a relaxed ZrAl3Co crystal, as listed in Alexandria.

Calculated values
- Magnetic moment: 0.0 μB per formula unit
- E above lowest polymorph: 0 meV/atom
- Total DFT energy (no corrections): -5.88 eV per atom
- Formation energy from the elements: -0.507 eV per atom

Unit cell a=3.925 b=7.978 c=10.292 alpha=90.00 beta=90.00 gamma=90.00
Atoms (fractional coordinates):
Zr: 0.750 0.811 0.015
Zr: 0.250 0.689 0.515
Zr: 0.750 0.311 0.485
Zr: 0.250 0.189 0.985
Al: 0.250 0.557 0.080
Al: 0.750 0.443 0.920
Al: 0.250 0.057 0.420
Al: 0.750 0.943 0.580
Al: 0.250 0.386 0.701
Al: 0.750 0.114 0.201
Al: 0.250 0.886 0.799
Al: 0.750 0.643 0.719
Al: 0.250 0.357 0.281
Al: 0.750 0.143 0.781
Al: 0.750 0.614 0.299
Al: 0.250 0.857 0.219
Co: 0.250 0.102 0.649
Co: 0.250 0.602 0.851
Co: 0.750 0.398 0.149
Co: 0.750 0.898 0.351